(1)
This record from the Alexandria database describes a geometry-optimized Cs3Tl5Pd2 structure. The functional is PBE-GGA.

Computed properties:
calculated total energy: -0.094 Ha/atom

Lattice parameters (Å, degrees): 10.5369 10.5369 10.5369 112.87 84.22 135.41
Last column: nearest neighbours and their distance in Å.
Fractional positions:
Cs: 0.1383 0.7477 0.8860  1 Pd 3.41
Cs: 0.2500 0.2500 0.0000  4 Pd 3.55
Cs: 0.3617 0.2477 0.6094  1 Pd 3.41
Cs: 0.6383 0.7523 0.3906  1 Pd 3.41
Cs: 0.7500 0.7500 0.0000  4 Pd 3.55
Cs: 0.8617 0.2523 0.1140  1 Pd 3.41
Tl: 0.0067 0.7500 0.2567  2 Pd 2.78
Tl: 0.1096 0.3394 0.4490  1 Pd 2.77
Tl: 0.2500 0.7500 0.5000  4 Tl 3.23
Tl: 0.3904 0.8394 0.2298  1 Pd 2.77
Tl: 0.4933 0.7500 0.7433  2 Pd 2.78
Tl: 0.5067 0.2500 0.2567  2 Pd 2.78
Tl: 0.6096 0.1606 0.7702  1 Pd 2.77
Tl: 0.7500 0.2500 0.5000  4 Tl 3.23
Tl: 0.8904 0.6606 0.5510  1 Pd 2.77
Tl: 0.9933 0.2500 0.7433  2 Pd 2.78
Pd: 0.1673 0.1149 0.2823  3 Tl 2.77-2.78
Pd: 0.3327 0.6149 0.9476  3 Tl 2.77-2.78
Pd: 0.6673 0.3851 0.0524  3 Tl 2.77-2.78
Pd: 0.8327 0.8851 0.7177  3 Tl 2.77-2.78

(2)
This record from the Alexandria database describes a geometry-optimized Mg2CuSb structure. The functional is PBE-GGA.

Computed properties:
formation energy (no corrections): -106 meV/atom

Lattice parameters (Å, degrees): 4.3849 4.3849 4.0854 90.00 90.00 92.57
Last column: nearest neighbours and their distance in Å.
Fractional positions:
Mg: 0.0000 0.5000 0.0000  4 Sb 3.00, 4 Cu 3.00, 4 Mg 3.03-3.17
Mg: 0.5000 0.0000 0.0000  4 Sb 3.00, 4 Cu 3.00, 4 Mg 3.03-3.17
Cu: 0.0000 0.0000 0.5000  8 Mg 3.00, 4 Sb 3.03-3.17
Sb: 0.5000 0.5000 0.5000  8 Mg 3.00, 4 Cu 3.03-3.17

(3)
This record from the Alexandria database describes a geometry-optimized CeFe4Si2 structure. The functional is PBE-GGA.

Computed properties:
excess energy over the best structure of this formula in the dataset: 0.151 eV per atom
formation energy (no corrections): -245 meV/atom

Lattice parameters (Å, degrees): 8.2929 8.2929 8.2929 155.47 155.47 34.96
Last column: nearest neighbours and their distance in Å.
Fractional positions:
Ce: 0.0000 0.0000 0.0000  2 Fe 2.16
Fe: 0.1366 0.1366 0.0000  1 Ce 2.16
Fe: 0.2500 0.7500 0.5000  4 Si 2.47, 8 Fe 2.49-2.51
Fe: 0.7500 0.2500 0.5000  4 Si 2.47, 8 Fe 2.49-2.51
Fe: 0.8634 0.8634 0.0000  1 Ce 2.16
Si: 0.3597 0.3597 0.0000  8 Fe 2.47-2.49
Si: 0.6403 0.6403 0.0000  8 Fe 2.47-2.49

(4)
This record from the Alexandria database describes a geometry-optimized MgTcH4 structure. The functional is PBE-GGA.

Computed properties:
calculated total energy: -0.160 Ha/atom

Lattice parameters (Å, degrees): 5.0960 5.0960 5.0960 36.80 36.80 36.80
Last column: nearest neighbours and their distance in Å.
Fractional positions:
Mg: 0.0000 0.0000 0.0000  6 H 1.96
Tc: 0.5000 0.5000 0.5000  8 H 1.74-1.93
H: 0.2038 0.2038 0.2038  3 Tc 1.93, 3 H 2.14
H: 0.3781 0.3781 0.3781  1 Tc 1.74
H: 0.6219 0.6219 0.6219  1 Tc 1.74
H: 0.7962 0.7962 0.7962  3 Tc 1.93, 3 H 2.14

(5)
This record from the Alexandria database describes a geometry-optimized LiSbRuS2 structure. The functional is PBE-GGA.

Computed properties:
formation energy (no corrections): 215 meV/atom

Lattice parameters (Å, degrees): 4.5825 4.5825 4.6390 90.00 90.00 90.00
Last column: nearest neighbours and their distance in Å.
Fractional positions:
Li: 0.0000 0.0000 0.0000  2 Ru 2.32
Sb: 0.5000 0.5000 0.0000  4 Li 3.24, 8 S 3.26
Ru: 0.0000 0.0000 0.5000  4 S 2.29, 2 Li 2.32
S: 0.0000 0.5000 0.5000  2 Ru 2.29
S: 0.5000 0.0000 0.5000  2 Ru 2.29

(6)
This record from the Alexandria database describes a geometry-optimized CaTb2Pm2Sm2 structure. The functional is PBE-GGA.

Computed properties:
calculated total energy: -0.157 Ha/atom

Lattice parameters (Å, degrees): 6.3051 6.3051 8.1625 97.56 97.56 48.22
Last column: nearest neighbours and their distance in Å.
Fractional positions:
Ca: 0.0000 0.0000 0.0000  6 Pm 3.64-3.67, 2 Sm 3.68, 4 Tb 3.71
Tb: 0.4244 0.4244 0.2949  1 Tb 3.54, 5 Sm 3.56-3.67, 4 Pm 3.60-3.75, 2 Ca 3.71
Tb: 0.5756 0.5756 0.7051  1 Tb 3.54, 5 Sm 3.56-3.67, 4 Pm 3.60-3.75, 2 Ca 3.71
Pm: 0.2836 0.2836 0.8514  3 Sm 3.56-3.64, 4 Tb 3.60-3.75, 3 Ca 3.64-3.67, 2 Pm 3.70
Pm: 0.7164 0.7164 0.1486  3 Sm 3.56-3.64, 4 Tb 3.60-3.75, 3 Ca 3.64-3.67, 2 Pm 3.70
Sm: 0.1445 0.1445 0.4333  3 Pm 3.56-3.64, 5 Tb 3.56-3.67, 3 Sm 3.60-3.65, 1 Ca 3.68
Sm: 0.8555 0.8555 0.5667  3 Pm 3.56-3.64, 5 Tb 3.56-3.67, 3 Sm 3.60-3.65, 1 Ca 3.68